Record 1
# PBE+U Cr2GaAgO8, optimized geometry
data_Cr2GaAgO8
_chemical_formula_sum 'Cr2 Ga1 Ag1 O8'
_cell_length_a 5.5049
_cell_length_b 5.5049
_cell_length_c 6.5074
_cell_angle_alpha 90.00
_cell_angle_beta 90.00
_cell_angle_gamma 120.00
_symmetry_space_group_name_H-M 'P -3'
_symmetry_Int_Tables_number 147
loop_
_symmetry_equiv_pos_as_xyz
'x,y,z'
'-x,-y,-z'
'-y,x-y,z'
'y,-x+y,-z'
'-x+y,-x,z'
'x-y,x,-z'
loop_
_atom_site_label
_atom_site_type_symbol
_atom_site_fract_x
_atom_site_fract_y
_atom_site_fract_z
Cr1 Cr 0.3333 0.6667 0.2642
Ga1 Ga 0.0000 0.0000 0.0000
Ag1 Ag 0.0000 0.0000 0.5000
O1 O 0.1546 0.3291 0.1852
O2 O 0.3333 0.6667 0.5116
# - DOS at the Fermi energy: 0.00 states/eV/cell
# - Theoretical density: 4.0 g/cm3
# - Total energy: -6.1471 eV per atom


Record 2
# PBE+U Cr3GaAg3O8, optimized geometry
data_Cr3GaAg3O8
_chemical_formula_sum 'Cr6 Ga2 Ag6 O16'
_cell_length_a 10.588
_cell_length_b 5.984
_cell_length_c 6.199
_cell_angle_alpha 90.00
_cell_angle_beta 109.88
_cell_angle_gamma 90.00
_symmetry_space_group_name_H-M 'C 1 2/m 1'
_symmetry_Int_Tables_number 12
loop_
_symmetry_equiv_pos_as_xyz
'x,y,z'
'-x,-y,-z'
'-x,y,-z'
'x,-y,z'
'x+1/2,y+1/2,z'
'-x+1/2,-y+1/2,-z'
'-x+1/2,y+1/2,-z'
'x+1/2,-y+1/2,z'
loop_
_atom_site_label
_atom_site_type_symbol
_atom_site_fract_x
_atom_site_fract_y
_atom_site_fract_z
Cr1 Cr 0.000 0.000 0.000
Cr2 Cr 0.250 0.250 0.000
Ga1 Ga 0.000 0.500 0.000
Ag1 Ag 0.000 0.500 0.500
Ag2 Ag 0.250 0.250 0.500
O1 O 0.050 0.257 0.826
O2 O 0.199 0.000 0.173
O3 O 0.204 0.500 0.183
# - DOS at the Fermi energy: 10.50 states/eV/cell
# - Theoretical density: 6.1 g/cm3
# - Total energy: -6.1663 eV per atom


Number 1: volume 171 Å³ per cell. Number 2: volume 369 Å³ per cell.